(1)
This record from Alexandria via LeMat-Bulk describes a relaxed MgS3O crystal. The functional is PBE-GGA.

Unit cell a=4.266 b=4.266 c=4.266 alpha=90.00 beta=90.00 gamma=90.00
Fractional coordinates of all 5 atoms:
S 0.000 0.500 0.000
O 0.000 0.000 0.000
Mg 0.500 0.500 0.500
S 0.000 0.000 0.500
S 0.500 0.000 0.000

Calculated values
* uncorrected formation energy: 290 meV per atom
* E: -3.497 eV per atom
* SG: Pm-3m, No. 221
* ΔE to the lowest computed polymorph: 0 meV per atom



(2)
This record from Alexandria via LeMat-Bulk describes a relaxed K2ReNi crystal. The functional is PBE-GGA.

Unit cell a=3.878 b=3.878 c=5.581 alpha=90.00 beta=90.00 gamma=90.00
Fractional coordinates of all 4 atoms:
K 0.000 0.000 0.000
Ni 0.500 0.000 0.500
Re 0.000 0.500 0.500
K 0.500 0.500 0.000

Calculated values
* calculated formation energy: 6.1 eV per formula unit
* E: -3.572 eV per atom
* SG: P4/mmm, No. 123
* ΔE to the lowest computed polymorph: 770 meV per atom



(3)
This record from Alexandria via LeMat-Bulk describes a relaxed AcSeO2 crystal. The functional is PBE-GGA.

Unit cell a=4.386 b=4.386 c=4.699 alpha=62.18 beta=62.18 gamma=60.00
Fractional coordinates of all 4 atoms:
Se 0.500 0.500 0.500
O 0.218 0.218 0.345
Ac 0.000 0.000 0.000
O 0.782 0.782 0.655

Calculated values
* uncorrected formation energy: -1459 meV per atom
* E: -5.836 eV per atom
* SG: R-3m, No. 166



(4)
This record from Alexandria via LeMat-Bulk describes a relaxed Y6P2CS3 crystal. The functional is PBE-GGA.

Unit cell a=3.883 b=7.889 c=8.777 alpha=103.30 beta=102.78 gamma=90.00
Fractional coordinates of all 12 atoms:
Y 0.652 0.079 0.303
P 0.834 0.668 0.667
Y 0.001 0.219 0.001
S 0.832 0.165 0.663
Y 0.666 0.579 0.333
P 0.166 0.332 0.333
S 0.500 0.500 0.000
Y 0.348 0.921 0.697
Y 0.999 0.781 0.999
C 0.500 0.000 0.000
Y 0.334 0.421 0.667
S 0.168 0.835 0.337

Calculated values
* uncorrected formation energy: -1678 meV per atom
* E: -7.612 eV per atom
* SG: C2/m, No. 12



(5)
This record from Alexandria via LeMat-Bulk describes a relaxed TbMgTlIn crystal. The functional is PBE-GGA.

Unit cell a=4.522 b=4.706 c=4.675 alpha=90.00 beta=90.00 gamma=90.00
Fractional coordinates of all 4 atoms:
In 0.000 0.500 0.500
Tb 0.500 0.500 0.000
Mg 0.500 0.000 0.500
Tl 0.000 0.000 0.000

Calculated values
* calculated formation energy: -1.3 eV per formula unit
* E: -3.162 eV per atom
* SG: Pmmm, No. 47
* ΔE to the lowest computed polymorph: 0 meV per atom



(6)
This record from Alexandria via LeMat-Bulk describes a relaxed CrCoRh crystal. The functional is PBE-GGA.

Unit cell a=2.638 b=4.883 c=6.930 alpha=95.97 beta=101.11 gamma=57.30
Fractional coordinates of all 6 atoms:
Rh 0.084 0.346 0.740
Rh 0.362 0.846 0.300
Cr 0.027 0.846 0.629
Co 0.696 0.846 0.968
Cr 0.419 0.346 0.411
Co 0.749 0.346 0.072

Calculated values
* calculated formation energy: 0.0 eV per formula unit
* E: -8.035 eV per atom
* SG: P2_1/m, No. 11
* ΔE to the lowest computed polymorph: 0 meV per atom